{"formula": "TaTiSeN2", "functional": "GGA-PBE", "state": "relaxed", "relative_energy_mev_per_atom": 0, "raw_formation_energy_ev_per_fu": 0.26, "magmom_total_mub_per_fu": 0.00, "cell": [[3.9826, 0.0000, 0.0000], [0.0000, 3.9826, 0.0000], [0.0000, 0.0000, 5.2060]], "species": ["Ta", "Ti", "Se", "N", "N"], "fractional_positions": [[0.0000, 0.0000, 0.0000], [0.5000, 0.5000, 0.5000], [0.0000, 0.0000, 0.5000], [0.0000, 0.5000, 0.0000], [0.5000, 0.0000, 0.0000]]}